5
Lattice="4.806 0.000 0.000 0.000 4.806 0.000 0.000 0.000 4.806" Properties=species:S:1:pos:R:3 comment="AlZn3Pd | Alexandria | PBE | relaxed" density_g_cm3=4.9 sg=Pm-3m e_form_kj_per_mol_atoms=23.7 e_above_lowest_polymorph_kj_per_mol_fu=209 e_tot_ev_per_atom=-2.305 pbc="T T T"
Al 0.000 0.000 0.000
Zn 0.000 2.403 2.403
Zn 2.403 0.000 2.403
Zn 2.403 2.403 0.000
Pd 2.403 2.403 2.403